The following is a DFT calculation (PBE) of a geometry-optimized Sm2Y6Ho3Sc structure.

Lattice parameters (Å, degrees): 6.1326 6.1326 11.7576 94.97 94.97 119.97
Fractional positions:
Sm  0.1666  0.8334  0.0000
Sm  0.8334  0.1666  0.0000
Y  0.0866  0.4171  0.7503
Y  0.2523  0.2523  0.2500
Y  0.4171  0.0866  0.7503
Y  0.5829  0.9134  0.2497
Y  0.7477  0.7477  0.7500
Y  0.9134  0.5829  0.2497
Ho  0.0000  0.0000  0.5000
Ho  0.3338  0.6662  0.5000
Ho  0.6662  0.3338  0.5000
Sc  0.5000  0.5000  0.0000

Values from the calculation:
energy relative to the elements	30	meV per atom

---

The following is a DFT calculation (PBE) of a geometry-optimized La2SbSe structure.

Lattice parameters (Å, degrees): 8.1961 8.1961 8.1961 30.92 30.92 30.92
Fractional positions:
La  0.0000  0.0000  0.0000
La  0.1683  0.1683  0.1683
Sb  0.5847  0.5847  0.5847
Se  0.4157  0.4157  0.4157

Values from the calculation:
E_form (uncorrected)	-1.52	eV/atom
energy above the lowest structure with this stoichiometry	120	meV per atom

---

The following is a DFT calculation (PBE) of a geometry-optimized Be2Ru2Rh structure.

Lattice parameters (Å, degrees): 6.2042 6.2042 2.9679 90.00 90.00 90.00
Fractional positions:
Be  0.1258  0.3742  0.0000
Be  0.3742  0.8742  0.0000
Be  0.6258  0.1258  0.0000
Be  0.8742  0.6258  0.0000
Ru  0.1691  0.6691  0.5000
Ru  0.3309  0.1691  0.5000
Ru  0.6691  0.8309  0.5000
Ru  0.8309  0.3309  0.5000
Rh  0.0000  0.0000  0.0000
Rh  0.5000  0.5000  0.0000

Values from the calculation:
energy relative to the elements	-214	meV per atom

---

Final energy readings, ordered: -5.66, -5.89, -6.88 eV per atom